(1)
Entry from Alexandria: a geometry-optimized LaAg4As structure (PBE).

The structure belongs to space group F-43m (No. 216); the cell edges are 8.008, 8.008 and 8.008 Å and the angles 90.00°, 90.00° and 90.00°. The distinct sites, in fractional coordinates, are La at (0.000, 0.000, 0.000), Ag at (0.125, 0.125, 0.625) and As at (0.250, 0.250, 0.250).

The calculated total energy comes out at -3.69 eV per atom.

(2)
Entry from Alexandria: a geometry-optimized Zr2CuMo structure (PBE).

The structure belongs to space group P4/mmm (No. 123); the cell edges are 3.387, 3.387 and 6.384 Å and the angles 90.00°, 90.00° and 90.00°. The distinct sites, in fractional coordinates, are Zr at (0.000, 0.000, 0.245), Cu at (0.500, 0.500, 0.500) and Mo at (0.500, 0.500, 0.000).

The distance to the lowest polymorph of the same formula is 0.0 meV per atom.

(3)
Entry from Alexandria: a geometry-optimized Pm3PuTl3S8 structure (PBE).

The structure belongs to space group R-3m (No. 166, hexagonal axes); the cell edges are 8.2258, 8.2258 and 22.6284 Å and the angles 90.00°, 90.00° and 120.00°. The distinct sites, in fractional coordinates, are Pm at (0.0000, 0.5000, 0.0000), Pu at (0.0000, 0.0000, 0.0000), Tl at (0.0000, 0.5000, 0.5000), S at (0.0000, 0.0000, 0.2658) and S at (0.0141, 0.5070, 0.7316).

The value obtained for the uncorrected formation energy is -1.443 eV/atom.

(4)
Entry from Alexandria: a geometry-optimized TmCu4 structure (PBE).

The structure belongs to space group I-43m (No. 217); the cell edges are 8.547, 8.547 and 8.547 Å and the angles 90.00°, 90.00° and 90.00°. The distinct sites, in fractional coordinates, are Tm at (0.214, 0.214, 0.786), Cu at (0.000, 0.000, 0.355), Cu at (0.000, 0.250, 0.500) and Cu at (0.103, 0.103, 0.103).

The calculated total energy comes out at -4.30 eV per atom.